--- A ---
First-principles (PBE-GGA) data for a geometry-optimized Zr2ScCl structure, as listed in Alexandria.

Values from the calculation:
Spin magnetization, μB per cell: 0.000
Calculated volume, Å³/atom: 24.49

abc: 3.1887 3.1887 9.6338
angles: 90.00 90.00 90.00
Fractional coordinates of all 4 atoms:
Sc 0.5000 0.5000 0.7370
Zr 0.5000 0.5000 0.2036
Cl 0.0000 0.0000 0.5779
Zr 0.0000 0.0000 0.9815

***

--- B ---
First-principles (PBE-GGA) data for a geometry-optimized Zr2ScCl structure, as listed in Alexandria.

Values from the calculation:
Spin magnetization, μB per cell: 0.004
Calculated volume, Å³/atom: 21.98

abc: 4.9911 4.9911 4.9911
angles: 60.00 60.00 60.00
Fractional coordinates of all 4 atoms:
Cl 0.5000 0.5000 0.5000
Zr 0.0000 0.0000 0.0000
Sc 0.7500 0.7500 0.7500
Zr 0.2500 0.2500 0.2500

***

--- C ---
First-principles (PBE-GGA) data for a geometry-optimized Zr2ScCl structure, as listed in Alexandria.

Values from the calculation:
Spin magnetization, μB per cell: 0.000
Calculated volume, Å³/atom: 22.01

abc: 5.2888 5.2888 3.1470
angles: 90.00 90.00 90.00
Fractional coordinates of all 4 atoms:
Sc 0.0000 0.5000 0.5000
Zr 0.0000 0.0000 0.0000
Cl 0.5000 0.0000 0.5000
Zr 0.5000 0.5000 0.0000

***

--- D ---
First-principles (PBE-GGA) data for a geometry-optimized Zr2ScCl structure, as listed in Alexandria.

Values from the calculation:
Spin magnetization, μB per cell: 0.000
Calculated volume, Å³/atom: 21.82

abc: 3.2388 3.2388 9.3726
angles: 90.00 90.00 117.40
Fractional coordinates of all 4 atoms:
Cl 0.0000 0.0000 0.5078
Sc 0.5000 0.5000 0.7306
Zr 0.0000 0.0000 0.9972
Zr 0.5000 0.5000 0.2644

***

Which structure is the least stable? The one labeled B.

***

--- A ---
First-principles (PBE-GGA) data for a geometry-optimized Zr2ScCl structure, as listed in Alexandria.

Values from the calculation:
Spin magnetization, μB per cell: 0.512
Calculated volume, Å³/atom: 21.82

abc: 6.2486 6.2486 5.3107
angles: 64.78 64.78 27.94
Site moments in Bohr magnetons follow the coordinates.
Fractional coordinates of all 4 atoms:
Cl 0.7500 0.7500 0.7500  0.00
Sc 0.2500 0.2500 0.2500  0.28
Zr 0.0354 0.0354 0.9643  0.03
Zr 0.4646 0.4646 0.5357  0.03

***

--- B ---
First-principles (PBE-GGA) data for a geometry-optimized Zr2ScCl structure, as listed in Alexandria.

Values from the calculation:
Spin magnetization, μB per cell: 0.000
Calculated volume, Å³/atom: 21.77

abc: 3.1590 3.1590 8.7267
angles: 90.00 90.00 90.00
Fractional coordinates of all 4 atoms:
Zr 0.0000 0.0000 0.0106
Cl 0.5000 0.5000 0.2500
Zr 0.0000 0.0000 0.4894
Sc 0.5000 0.5000 0.7500

***

Which structure is the least stable? The one labeled A.

***

--- A ---
First-principles (PBE-GGA) data for a geometry-optimized Zr2ScCl structure, as listed in Alexandria.

Values from the calculation:
Spin magnetization, μB per cell: 0.000
Calculated volume, Å³/atom: 21.89

abc: 5.9240 5.9240 5.9240
angles: 149.23 123.68 65.56
Fractional coordinates of all 4 atoms:
Cl 0.5000 0.5000 0.0000
Sc 0.7184 0.2184 0.5000
Zr 0.2771 0.7771 0.5000
Zr 0.0045 0.0045 0.0000

***

--- B ---
First-principles (PBE-GGA) data for a geometry-optimized Zr2ScCl structure, as listed in Alexandria.

Values from the calculation:
Spin magnetization, μB per cell: 0.000
Calculated volume, Å³/atom: 23.52

abc: 4.9455 3.1715 6.2001
angles: 75.30 90.00 90.00
Fractional coordinates of all 4 atoms:
Zr 0.0000 0.9395 0.9970
Sc 0.5000 0.5912 0.6916
Zr 0.5000 0.3457 0.1859
Cl 0.0000 0.6236 0.6255

***

--- C ---
First-principles (PBE-GGA) data for a geometry-optimized Zr2ScCl structure, as listed in Alexandria.

Values from the calculation:
Spin magnetization, μB per cell: 0.000
Calculated volume, Å³/atom: 22.81

abc: 4.0123 4.0123 11.6865
angles: 80.12 80.12 90.00
Fractional coordinates of all 8 atoms:
Zr 0.6257 0.1250 0.2500
Sc 0.0000 0.0000 0.0000
Cl 0.5000 0.5000 0.0000
Zr 0.1243 0.6250 0.2500
Cl 0.2500 0.7500 0.5000
Zr 0.3750 0.3743 0.7500
Sc 0.7500 0.2500 0.5000
Zr 0.8750 0.8757 0.7500

***

--- D ---
First-principles (PBE-GGA) data for a geometry-optimized Zr2ScCl structure, as listed in Alexandria.

Values from the calculation:
Spin magnetization, μB per cell: 0.000
Calculated volume, Å³/atom: 21.76

abc: 3.1613 3.1613 8.8760
angles: 90.00 90.00 101.14
Fractional coordinates of all 4 atoms:
Cl 0.5000 0.5000 0.2500
Zr 0.0000 0.0000 0.0105
Sc 0.5000 0.5000 0.7500
Zr 0.0000 0.0000 0.4895

***

Which structure is the least stable? The one labeled C.

***

--- A ---
First-principles (PBE-GGA) data for a geometry-optimized Zr3ScCl structure, as listed in Alexandria.

Values from the calculation:
Spin magnetization, μB per cell: 0.000
Calculated volume, Å³/atom: 22.99

abc: 4.8620 4.8620 4.8620
angles: 90.00 90.00 90.00
Fractional coordinates of all 5 atoms:
Zr 0.0000 0.0000 0.5000
Zr 0.5000 0.0000 0.0000
Zr 0.0000 0.5000 0.0000
Cl 0.0000 0.0000 0.0000
Sc 0.5000 0.5000 0.5000

***

--- B ---
First-principles (PBE-GGA) data for a geometry-optimized Zr3ScCl structure, as listed in Alexandria.

Values from the calculation:
Spin magnetization, μB per cell: 1.412
Calculated volume, Å³/atom: 27.69

abc: 5.1732 5.1732 5.1732
angles: 90.00 90.00 90.00
Site moments in Bohr magnetons follow the coordinates.
Fractional coordinates of all 5 atoms:
Zr 0.0000 0.0000 0.5000  0.24
Cl 0.5000 0.5000 0.5000  0.01
Zr 0.5000 0.0000 0.0000  0.32
Zr 0.0000 0.5000 0.0000  0.26
Sc 0.0000 0.0000 0.0000  0.02

***

Which structure is the least stable? The one labeled B.

***

--- A ---
First-principles (PBE-GGA) data for a geometry-optimized SeCl5 structure, as listed in Alexandria.

Values from the calculation:
Spin magnetization, μB per cell: 0.576
Calculated volume, Å³/atom: 28.47

abc: 10.0272 10.0272 4.1416
angles: 90.00 90.00 155.78
Site moments in Bohr magnetons follow the coordinates.
Fractional coordinates of all 6 atoms:
Cl 0.9950 0.0050 0.0000  0.00
Cl 0.3254 0.6746 0.0000  0.24
Cl 0.6297 0.3703 0.0000  0.00
Cl 0.8267 0.1733 0.5000  0.23
Cl 0.4991 0.5009 0.5000  0.00
Se 0.0574 0.9426 0.5000  0.00

***

--- B ---
First-principles (PBE-GGA) data for a geometry-optimized SeCl5 structure, as listed in Alexandria.

Values from the calculation:
Spin magnetization, μB per cell: 0.000
Calculated volume, Å³/atom: 26.52

abc: 2.9624 2.9624 18.1340
angles: 90.00 90.00 90.00
Fractional coordinates of all 6 atoms:
Cl 0.0000 0.0000 0.9003
Cl 0.0000 0.0000 0.5000
Cl 0.0000 0.0000 0.0997
Se 0.5000 0.5000 0.0000
Cl 0.5000 0.5000 0.7225
Cl 0.5000 0.5000 0.2775

***

Which structure is the least stable? The one labeled B.

***

--- A ---
First-principles (PBE-GGA) data for a geometry-optimized SeCl4 structure, as listed in Alexandria.

Values from the calculation:
Spin magnetization, μB per cell: 0.000
Calculated volume, Å³/atom: 34.35

abc: 10.4028 10.4028 15.5952
angles: 94.49 105.02 119.60
Fractional coordinates of all 40 atoms:
Se 0.8398 0.8917 0.6879
Se 0.6368 0.2619 0.3803
Cl 0.4479 0.8733 0.8055
Se 0.1602 0.1083 0.3121
Cl 0.5677 0.6423 0.6945
Cl 0.4323 0.3577 0.3055
Cl 0.2228 0.2117 0.4582
Cl 0.6589 0.3527 0.5198
Cl 0.4568 0.7706 0.2457
Se 0.3816 0.2566 0.1197
Se 0.2961 0.8481 0.1879
Se 0.7039 0.1519 0.8121
Cl 0.8678 0.0079 0.8633
Cl 0.7722 0.6532 0.9214
Cl 0.3953 0.5322 0.8694
Cl 0.6671 0.8609 0.0198
Cl 0.2534 0.7646 0.0418
Cl 0.7466 0.2354 0.9582
Cl 0.1322 0.9921 0.1367
Cl 0.2278 0.3468 0.0786
Cl 0.3329 0.1391 0.9802
Cl 0.5432 0.2294 0.7543
Cl 0.9751 0.7889 0.7457
Cl 0.8372 0.4741 0.3694
Cl 0.0474 0.1148 0.6939
Cl 0.5521 0.1267 0.1945
Cl 0.9209 0.3535 0.8061
Cl 0.9526 0.8852 0.3061
Se 0.3632 0.7381 0.6197
Cl 0.6047 0.4678 0.1306
Cl 0.0791 0.6465 0.1939
Cl 0.7682 0.1492 0.4214
Cl 0.0249 0.2111 0.2543
Se 0.6184 0.7434 0.8803
Cl 0.6446 0.0045 0.6367
Cl 0.3411 0.6473 0.4802
Cl 0.7772 0.7883 0.5418
Cl 0.2318 0.8508 0.5786
Cl 0.1628 0.5259 0.6306
Cl 0.3554 0.9955 0.3633

***

--- B ---
First-principles (PBE-GGA) data for a geometry-optimized SeCl4 structure, as listed in Alexandria.

Values from the calculation:
Spin magnetization, μB per cell: 0.000
Calculated volume, Å³/atom: 24.33

abc: 5.4066 5.4066 5.4066
angles: 109.47 109.47 109.47
Fractional coordinates of all 5 atoms:
Cl 0.0000 0.0000 0.5000
Cl 0.0000 0.5000 0.0000
Cl 0.5000 0.5000 0.5000
Se 0.0000 0.0000 0.0000
Cl 0.5000 0.0000 0.0000

***

Which structure is the least stable? The one labeled B.

***

--- A ---
First-principles (PBE-GGA) data for a geometry-optimized Si2SeCl structure, as listed in Alexandria.

Values from the calculation:
Spin magnetization, μB per cell: 0.000
Calculated volume, Å³/atom: 26.56

abc: 7.2257 7.2257 4.6017
angles: 76.20 76.20 27.14
Fractional coordinates of all 4 atoms:
Si 0.0915 0.0915 0.7353
Se 0.2235 0.2235 0.2638
Si 0.6977 0.6977 0.9133
Cl 0.4873 0.4873 0.5876

***

--- B ---
First-principles (PBE-GGA) data for a geometry-optimized Si2SeCl structure, as listed in Alexandria.

Values from the calculation:
Spin magnetization, μB per cell: 0.000
Calculated volume, Å³/atom: 18.93

abc: 4.7489 4.7489 4.7489
angles: 60.00 60.00 60.00
Fractional coordinates of all 4 atoms:
Si 0.2500 0.2500 0.2500
Se 0.5000 0.5000 0.5000
Cl 0.0000 0.0000 0.0000
Si 0.7500 0.7500 0.7500

***

--- C ---
First-principles (PBE-GGA) data for a geometry-optimized Si2SeCl structure, as listed in Alexandria.

Values from the calculation:
Spin magnetization, μB per cell: 0.000
Calculated volume, Å³/atom: 21.30

abc: 4.2339 4.2339 6.4221
angles: 79.07 79.07 49.17
Fractional coordinates of all 4 atoms:
Cl 0.7500 0.7500 0.7500
Si 0.9867 0.9867 0.0337
Se 0.2500 0.2500 0.2500
Si 0.5133 0.5133 0.4663

***

Which structure is the least stable? The one labeled B.

***

--- A ---
First-principles (PBE-GGA) data for a geometry-optimized Si2SeCl structure, as listed in Alexandria.

Values from the calculation:
Spin magnetization, μB per cell: 0.000
Calculated volume, Å³/atom: 21.93

abc: 3.6026 3.6026 7.8294
angles: 90.00 90.00 120.30
Fractional coordinates of all 4 atoms:
Si 0.0000 0.0000 0.9829
Cl 0.5000 0.5000 0.2500
Se 0.5000 0.5000 0.7500
Si 0.0000 0.0000 0.5171

***

--- B ---
First-principles (PBE-GGA) data for a geometry-optimized Si2SeCl structure, as listed in Alexandria.

Values from the calculation:
Spin magnetization, μB per cell: 0.000
Calculated volume, Å³/atom: 28.55

abc: 4.7858 3.5399 6.9410
angles: 76.22 90.00 90.00
Fractional coordinates of all 4 atoms:
Si 0.5000 0.1405 0.0917
Se 0.5000 0.7478 0.8619
Cl 0.0000 0.5017 0.3889
Si 0.0000 0.1100 0.1575

***

--- C ---
First-principles (PBE-GGA) data for a geometry-optimized Si2SeCl structure, as listed in Alexandria.

Values from the calculation:
Spin magnetization, μB per cell: 0.000
Calculated volume, Å³/atom: 21.09

abc: 6.6451 6.6451 6.6451
angles: 147.51 147.51 46.60
Fractional coordinates of all 4 atoms:
Si 0.2500 0.7500 0.5000
Se 0.7500 0.2500 0.5000
Si 0.0000 0.0000 0.0000
Cl 0.5000 0.5000 0.0000

***

--- D ---
First-principles (PBE-GGA) data for a geometry-optimized Si2SeCl structure, as listed in Alexandria.

Values from the calculation:
Spin magnetization, μB per cell: 0.000
Calculated volume, Å³/atom: 20.72

abc: 3.2041 3.2041 8.0730
angles: 90.00 90.00 90.00
Fractional coordinates of all 4 atoms:
Se 0.5000 0.5000 0.8525
Si 0.5000 0.5000 0.2130
Cl 0.0000 0.0000 0.4229
Si 0.0000 0.0000 0.0116

***

Which structure is the least stable? The one labeled C.